Arrangement i

A plane-wave DFT calculation with PBE was carried out for Ta6TcW2 after structural relaxation.

magnetic moment = 0.000 μB per atom

Lattice parameters (Å, degrees): 13.981 6.257 4.431 90.00 108.40 90.00
Space group C2/m (No. 12)
Unique sites:
1 Ta 0.000 0.247 0.000 (multiplicity 4)
2 Ta 0.165 0.248 0.665 (multiplicity 8)
3 Tc 0.000 0.000 0.500 (multiplicity 2)
4 W 0.166 0.500 0.166 (multiplicity 4)

Arrangement ii

A plane-wave DFT calculation with PBE was carried out for Ta6TcW2 after structural relaxation.

magnetic moment = 0.000 μB per atom

Lattice parameters (Å, degrees): 13.961 8.209 2.753 90.00 94.01 90.00
Space group C2/m (No. 12)
Unique sites:
1 Ta 0.000 0.171 0.000 (multiplicity 4)
2 Ta 0.167 0.330 0.804 (multiplicity 8)
3 Tc 0.000 0.500 0.500 (multiplicity 2)
4 W 0.168 0.000 0.499 (multiplicity 4)

Which of them is the least stable? Correct choice: arrangement i.